Entry from Alexandria: a relaxed PHPdO2 crystal (GGA-PBE).

Values from the calculation:
Its space-group type is No. 123. As for the calculated density: 5.93 g/cm³. The total energy is -20.79 eV for the cell shown.

abc: 3.9833 3.9833 3.0079
angles: 90.00 90.00 90.00
Positions (direct):
P1 0.0000 0.0000 0.0000
H1 0.0000 0.0000 0.5000
Pd1 0.5000 0.5000 0.0000
O1 0.0000 0.5000 0.5000
O2 0.5000 0.0000 0.5000

=====

Entry from Alexandria: a relaxed PHPdO2 crystal (GGA-PBE).

Values from the calculation:
Its space-group type is No. 123. As for the calculated density: 3.81 g/cm³. The total energy is -19.53 eV for the cell shown.

abc: 3.8101 3.8101 5.1210
angles: 90.00 90.00 90.00
Positions (direct):
P1 0.0000 0.0000 0.0000
H1 0.5000 0.5000 0.0000
Pd1 0.0000 0.0000 0.5000
O1 0.0000 0.5000 0.5000
O2 0.5000 0.0000 0.5000

=====

Entry from Alexandria: a relaxed P2HPdO crystal (GGA-PBE).

Values from the calculation:
Its space-group type is No. 123. As for the calculated density: 5.66 g/cm³. The total energy is -21.47 eV for the cell shown.

abc: 3.5595 3.5595 4.2939
angles: 90.00 90.00 90.00
Positions (direct):
P1 0.0000 0.5000 0.0000
P2 0.5000 0.0000 0.0000
H1 0.0000 0.0000 0.0000
Pd1 0.5000 0.5000 0.5000
O1 0.0000 0.0000 0.5000

=====

Entry from Alexandria: a relaxed P2HPdO crystal (GGA-PBE).

Values from the calculation:
Its space-group type is No. 123. As for the calculated density: 3.56 g/cm³. The total energy is -18.58 eV for the cell shown.

abc: 4.7178 4.7178 3.8853
angles: 90.00 90.00 90.00
Positions (direct):
P1 0.0000 0.5000 0.0000
P2 0.5000 0.0000 0.0000
H1 0.0000 0.0000 0.5000
Pd1 0.5000 0.5000 0.0000
O1 0.5000 0.5000 0.5000

=====

Entry from Alexandria: a relaxed PrP3H10O14 crystal (GGA-PBE).

Values from the calculation:
Its space-group type is No. 2. As for the calculated density: 2.58 g/cm³. The total energy is -344.19 eV for the cell shown.

abc: 7.7672 9.0400 9.7570
angles: 77.10 79.51 65.09
Positions (direct):
Pr1 0.0653 0.2542 0.2671
Pr2 0.9347 0.7458 0.7329
P1 0.1302 0.0803 0.6594
P2 0.1326 0.2739 0.8728
P3 0.4720 0.1351 0.6800
P4 0.5280 0.8649 0.3200
P5 0.8674 0.7261 0.1272
P6 0.8698 0.9197 0.3406
H1 0.2073 0.8570 0.9283
H2 0.2273 0.9578 0.0308
H3 0.2327 0.4883 0.3164
H4 0.2690 0.3593 0.4569
H5 0.3411 0.4890 0.6161
H6 0.3535 0.6662 0.1227
H7 0.3600 0.6607 0.5714
H8 0.3641 0.3990 0.1248
H9 0.4692 0.2233 0.0778
H10 0.4903 0.4834 0.7819
H11 0.5097 0.5166 0.2181
H12 0.5308 0.7767 0.9222
H13 0.6359 0.6010 0.8752
H14 0.6400 0.3393 0.4286
H15 0.6465 0.3338 0.8773
H16 0.6589 0.5110 0.3839
H17 0.7310 0.6407 0.5431
H18 0.7673 0.5117 0.6836
H19 0.7727 0.0422 0.9692
H20 0.7927 0.1430 0.0717
O1 0.0484 0.1607 0.5217
O2 0.0476 0.2172 0.7633
O3 0.0667 0.4574 0.8404
O4 0.0895 0.1942 0.0206
O5 0.1057 0.9252 0.7357
O6 0.1815 0.4119 0.3817
O7 0.2887 0.8497 0.9982
O8 0.3001 0.5985 0.6457
O9 0.3307 0.9858 0.2933
O10 0.3432 0.3008 0.1140
O11 0.3580 0.0377 0.6418
O12 0.3609 0.1856 0.8313
O13 0.3860 0.5543 0.1808
O14 0.4453 0.2902 0.5724
O15 0.5547 0.7098 0.4276
O16 0.6140 0.4457 0.8192
O17 0.6391 0.8144 0.1687
O18 0.6420 0.9623 0.3582
O19 0.6568 0.6992 0.8860
O20 0.6693 0.0142 0.7067
O21 0.6999 0.4015 0.3543
O22 0.7113 0.1503 0.0018
O23 0.8185 0.5881 0.6183
O24 0.8943 0.0748 0.2643
O25 0.9105 0.8058 0.9794
O26 0.9333 0.5426 0.1596
O27 0.9524 0.7828 0.2367
O28 0.9516 0.8393 0.4783

=====

Entry from Alexandria: a relaxed PrP3H6O12 crystal (GGA-PBE).

Values from the calculation:
Its space-group type is No. 174. As for the calculated density: 2.92 g/cm³. The total energy is -142.27 eV for the cell shown.

abc: 6.7840 6.7840 6.1648
angles: 90.00 90.00 120.00
Positions (direct):
Pr1 0.0000 0.0000 0.0000
P1 0.3870 0.2759 0.5000
P2 0.7241 0.1112 0.5000
P3 0.8888 0.6130 0.5000
H1 0.0404 0.4889 0.1252
H2 0.0404 0.4889 0.8748
H3 0.4484 0.9596 0.1252
H4 0.4484 0.9596 0.8748
H5 0.5111 0.5516 0.1252
H6 0.5111 0.5516 0.8748
O1 0.0379 0.3989 0.0000
O2 0.2688 0.2572 0.2894
O3 0.2688 0.2572 0.7106
O4 0.3610 0.9621 0.0000
O5 0.4792 0.0977 0.5000
O6 0.6011 0.6390 0.0000
O7 0.6185 0.5208 0.5000
O8 0.7428 0.0116 0.2894
O9 0.7428 0.0116 0.7106
O10 0.9023 0.3815 0.5000
O11 0.9884 0.7312 0.2894
O12 0.9884 0.7312 0.7106

=====

Entry from Alexandria: a relaxed PHPtO2 crystal (GGA-PBE).

Values from the calculation:
Its space-group type is No. 123. As for the calculated density: 8.95 g/cm³. The total energy is -20.90 eV for the cell shown.

abc: 3.9825 3.9825 3.0318
angles: 90.00 90.00 90.00
Positions (direct):
P1 0.0000 0.0000 0.0000
H1 0.0000 0.0000 0.5000
Pt1 0.5000 0.5000 0.0000
O1 0.0000 0.5000 0.5000
O2 0.5000 0.0000 0.5000

=====

Entry from Alexandria: a relaxed PHPtO2 crystal (GGA-PBE).

Values from the calculation:
Its space-group type is No. 123. As for the calculated density: 5.84 g/cm³. The total energy is -21.14 eV for the cell shown.

abc: 3.7672 3.7672 5.1920
angles: 90.00 90.00 90.00
Positions (direct):
P1 0.0000 0.0000 0.0000
H1 0.5000 0.5000 0.0000
Pt1 0.0000 0.0000 0.5000
O1 0.0000 0.5000 0.5000
O2 0.5000 0.0000 0.5000